DFT (PBE) results for an optimized crystal structure of Si2PbI.

Cell: 5.1791 5.1791 5.1791 Å, 60.00 60.00 60.00°
Last column: nearest neighbours and their distance in Å.
Element x y z (fractional)
Si: 0.2500 0.2500 0.2500  4 Pb 3.17, 4 I 3.17
Si: 0.7500 0.7500 0.7500  4 I 3.17, 4 Pb 3.17
Pb: 0.0000 0.0000 0.0000  8 Si 3.17
I: 0.5000 0.5000 0.5000  8 Si 3.17

Computed properties:
Crystal system: cubic
Formation energy without anion corrections in kJ per mole of atoms: 75.5
Space group: Fm-3m
Theoretical density in g cm⁻³: 6.60
DOS at the Fermi energy in states/eV per cell: 3.07